(1)
Compound: Mo4O11
Source: the Alexandria database
Functional: meta-GGA SCAN
Structure: single point on PBEsol structure

Lattice parameters (Å, degrees): 6.6966 5.4576 24.5549 90.00 94.01 90.00
Element x y z (fractional)
Mo: 0.0055 0.2396 0.3368
Mo: 0.0055 0.2604 0.8368
Mo: 0.3131 0.7320 0.0436
Mo: 0.3131 0.7680 0.5436
Mo: 0.3343 0.2397 0.2205
Mo: 0.3343 0.2603 0.7205
Mo: 0.3424 0.7419 0.3980
Mo: 0.3424 0.7581 0.8980
Mo: 0.6576 0.2419 0.1020
Mo: 0.6576 0.2581 0.6020
Mo: 0.6657 0.7397 0.2795
Mo: 0.6657 0.7603 0.7795
Mo: 0.6869 0.2320 0.4564
Mo: 0.6869 0.2680 0.9564
Mo: 0.9945 0.7396 0.1632
Mo: 0.9945 0.7604 0.6632
O: 0.1175 0.7420 0.0874
O: 0.1175 0.7580 0.5874
O: 0.1520 0.0136 0.6860
O: 0.1520 0.4864 0.1860
O: 0.1621 0.5204 0.6881
O: 0.1621 0.9796 0.1881
O: 0.1681 0.2405 0.2806
O: 0.1681 0.2595 0.7806
O: 0.1820 0.5042 0.3739
O: 0.1820 0.9958 0.8739
O: 0.1996 0.0008 0.3765
O: 0.1996 0.4992 0.8765
O: 0.2184 0.7474 0.4742
O: 0.2184 0.7526 0.9742
O: 0.4457 0.0431 0.5560
O: 0.4457 0.4569 0.0560
O: 0.4749 0.5242 0.5604
O: 0.4749 0.9758 0.0604
O: 0.4905 0.2390 0.1553
O: 0.4905 0.2610 0.6553
O: 0.4961 0.0047 0.7491
O: 0.4961 0.4953 0.2491
O: 0.5039 0.5047 0.7509
O: 0.5039 0.9953 0.2509
O: 0.5095 0.7390 0.3447
O: 0.5095 0.7610 0.8447
O: 0.5251 0.0242 0.9396
O: 0.5251 0.4758 0.4396
O: 0.5543 0.5431 0.9440
O: 0.5543 0.9569 0.4440
O: 0.7816 0.2474 0.0258
O: 0.7816 0.2526 0.5258
O: 0.8004 0.5008 0.1235
O: 0.8004 0.9992 0.6235
O: 0.8180 0.0042 0.1261
O: 0.8180 0.4958 0.6261
O: 0.8319 0.7405 0.2194
O: 0.8319 0.7595 0.7194
O: 0.8379 0.0204 0.8119
O: 0.8379 0.4796 0.3119
O: 0.8480 0.5136 0.8140
O: 0.8480 0.9864 0.3140
O: 0.8825 0.2420 0.4126
O: 0.8825 0.2580 0.9126

DFT total energy ... -15.981 eV/atom
N(E_F) ... 0.146 states/eV/atom
ΔE to the lowest computed polymorph ... 0.0000 eV/atom
Spin magnetization ... 0.000 μB/cell

***

(2)
Compound: MoO3
Source: the Alexandria database
Functional: meta-GGA SCAN
Structure: single point on PBEsol structure

Lattice parameters (Å, degrees): 14.6967 3.6799 3.8723 90.00 90.00 90.00
Element x y z (fractional)
Mo: 0.0986 0.2500 0.0708
Mo: 0.4014 0.7500 0.5708
Mo: 0.5986 0.2500 0.4292
Mo: 0.9014 0.7500 0.9292
O: 0.0627 0.7500 0.9990
O: 0.0837 0.2500 0.5194
O: 0.2114 0.2500 0.0321
O: 0.2886 0.7500 0.5321
O: 0.4163 0.7500 0.0194
O: 0.4373 0.2500 0.4990
O: 0.5627 0.7500 0.5010
O: 0.5837 0.2500 0.9806
O: 0.7114 0.2500 0.4679
O: 0.7886 0.7500 0.9679
O: 0.9163 0.7500 0.4806
O: 0.9373 0.2500 0.0010

DFT total energy ... -15.451 eV/atom
N(E_F) ... 0.000 states/eV/atom
Spin magnetization ... 0.000 μB/cell

***

(3)
Compound: MoO3
Source: the Alexandria database
Functional: meta-GGA SCAN
Structure: single point on PBEsol structure

Lattice parameters (Å, degrees): 5.3789 5.3874 7.5974 89.47 90.00 89.93
Element x y z (fractional)
Mo: 0.0000 0.0000 0.0000
Mo: 0.0009 0.0086 0.4912
Mo: 0.4917 0.5086 0.9912
Mo: 0.4934 0.5001 0.5000
O: 0.2242 0.6897 0.9515
O: 0.2268 0.6882 0.4939
O: 0.2657 0.1885 0.9923
O: 0.2683 0.1896 0.4536
O: 0.4916 0.4966 0.2218
O: 0.5012 0.4170 0.7251
O: 0.7262 0.7264 0.4920
O: 0.7266 0.7286 0.9538
O: 0.7662 0.2260 0.9935
O: 0.7659 0.2287 0.4517
O: 0.9952 0.9167 0.2251
O: 0.9974 0.9968 0.7218

DFT total energy ... -15.453 eV/atom
N(E_F) ... 0.000 states/eV/atom
Spin magnetization ... 0.000 μB/cell

***

(4)
Compound: Mo4O11
Source: the Alexandria database
Functional: meta-GGA SCAN
Structure: single point on PBEsol structure

Lattice parameters (Å, degrees): 24.4672 5.4717 6.7464 90.00 90.00 90.00
Element x y z (fractional)
Mo: 0.0290 0.2500 0.1584
Mo: 0.0868 0.7500 0.4814
Mo: 0.1468 0.2500 0.8038
Mo: 0.2052 0.7500 0.1309
Mo: 0.2948 0.2500 0.6309
Mo: 0.3532 0.7500 0.3038
Mo: 0.4132 0.2500 0.9814
Mo: 0.4710 0.7500 0.6584
Mo: 0.5290 0.2500 0.3416
Mo: 0.5868 0.7500 0.0186
Mo: 0.6468 0.2500 0.6962
Mo: 0.7052 0.7500 0.3691
Mo: 0.7948 0.2500 0.8691
Mo: 0.8532 0.7500 0.1962
Mo: 0.9132 0.2500 0.5186
Mo: 0.9710 0.7500 0.8416
O: 0.0000 0.0000 0.0000
O: 0.0000 0.5000 0.0000
O: 0.0305 0.7500 0.6578
O: 0.0630 0.5038 0.3252
O: 0.0630 0.9962 0.3252
O: 0.0933 0.2500 0.9827
O: 0.1245 0.0022 0.6570
O: 0.1245 0.4978 0.6570
O: 0.1637 0.7500 0.3441
O: 0.1892 0.0083 0.9909
O: 0.1892 0.4917 0.9909
O: 0.2235 0.2500 0.6780
O: 0.2765 0.7500 0.1780
O: 0.3108 0.5083 0.4909
O: 0.3108 0.9917 0.4909
O: 0.3363 0.2500 0.8441
O: 0.3755 0.5022 0.1570
O: 0.3755 0.9978 0.1570
O: 0.4067 0.7500 0.4827
O: 0.4370 0.0038 0.8252
O: 0.4370 0.4962 0.8252
O: 0.4695 0.2500 0.1578
O: 0.5000 0.0000 0.5000
O: 0.5000 0.5000 0.5000
O: 0.5305 0.7500 0.8422
O: 0.5630 0.5038 0.1748
O: 0.5630 0.9962 0.1748
O: 0.5933 0.2500 0.5173
O: 0.6245 0.0022 0.8430
O: 0.6245 0.4978 0.8430
O: 0.6637 0.7500 0.1559
O: 0.6892 0.0083 0.5091
O: 0.6892 0.4917 0.5091
O: 0.7235 0.2500 0.8220
O: 0.7765 0.7500 0.3220
O: 0.8108 0.5083 0.0091
O: 0.8108 0.9917 0.0091
O: 0.8363 0.2500 0.6559
O: 0.8755 0.5022 0.3430
O: 0.8755 0.9978 0.3430
O: 0.9067 0.7500 0.0173
O: 0.9370 0.0038 0.6748
O: 0.9370 0.4962 0.6748
O: 0.9695 0.2500 0.3422

DFT total energy ... -15.977 eV/atom
N(E_F) ... 0.141 states/eV/atom
ΔE to the lowest computed polymorph ... 0.0037 eV/atom
Spin magnetization ... 0.000 μB/cell

***

(5)
Compound: MoO3
Source: the Alexandria database
Functional: meta-GGA SCAN
Structure: single point on PBEsol structure

Lattice parameters (Å, degrees): 7.8051 7.8051 3.7241 90.00 90.00 152.26
Element x y z (fractional)
Mo: 0.0979 0.9021 0.7500
Mo: 0.9021 0.0979 0.2500
O: 0.0644 0.9356 0.2500
O: 0.2075 0.7925 0.7500
O: 0.4210 0.5790 0.2500
O: 0.5790 0.4210 0.7500
O: 0.7925 0.2075 0.2500
O: 0.9356 0.0644 0.7500

DFT total energy ... -15.422 eV/atom
N(E_F) ... 0.024 states/eV/atom
Spin magnetization ... 0.000 μB/cell

***

(6)
Compound: MoO2
Source: the Alexandria database
Functional: meta-GGA SCAN
Structure: single point on PBEsol structure

Lattice parameters (Å, degrees): 4.8998 4.8998 2.6901 90.00 90.00 90.00
Element x y z (fractional)
Mo: 0.0000 0.0000 0.0000
Mo: 0.5000 0.5000 0.5000
O: 0.2183 0.2183 0.5000
O: 0.2817 0.7183 0.0000
O: 0.7183 0.2817 0.0000
O: 0.7817 0.7817 0.5000

DFT total energy ... -17.791 eV/atom
N(E_F) ... 0.368 states/eV/atom
Spin magnetization ... 0.003 μB/cell

***

Ρ for every record listed, in sequence, given in g/cm³: 4.2 4.6 4.3 4.1 4.5 6.6.